(1)
Density functional theory data (SCAN) for a crystal of YPBr2 relaxed with PBEsol.

Properties
The calculation puts the energy above the most stable polymorph in this dataset at 0.100 eV/atom. The raw total energy comes out at -81.86 eV per cell. As for the uncorrected formation energy: -113.3 kJ/mol of atoms.

extended XYZ file:
```
4
Lattice="-0.2029 -3.5200 1.6982 3.3350 3.0192 2.1472 -5.4679 2.0237 3.5416" Properties=species:S:1:pos:R:3 pbc="T T T"
Br -0.4919 -0.5634 3.2829
Y -1.7460 2.0409 4.0219
P -2.8233 -0.3694 3.4065
Br -2.4456 1.1893 6.6826
```

=====

(2)
Density functional theory data (SCAN) for a crystal of KRuAu2 relaxed with PBEsol.

Properties
The value obtained for the formation energy is 0.34 eV/atom. The value obtained for the density of states at the Fermi level is 1.02 states/eV/f.u. The calculation puts the energy above the most stable polymorph in this dataset at 0.086 eV/atom. The raw total energy comes out at -180.11 eV per cell.

extended XYZ file:
```
4
Lattice="-2.1028 -1.4915 0.7827 2.8314 -1.9625 3.8673 -1.5707 3.8409 3.0991" Properties=species:S:1:pos:R:3 pbc="T T T"
Ru -1.0514 -0.7457 0.3914
Au -0.7854 1.9204 1.5495
K -0.4211 0.1935 3.8745
Au 1.4157 -0.9812 1.9336
```

=====

(3)
Density functional theory data (SCAN) for a crystal of Ca2ZrRh relaxed with PBEsol.

Properties
The value obtained for the formation energy is 0.06 eV/atom. The value obtained for the density of states at the Fermi level is 3.26 states/eV/f.u. The calculation puts the energy above the most stable polymorph in this dataset at 0.000 eV/atom. The raw total energy comes out at -83.57 eV per cell.

extended XYZ file:
```
4
Lattice="-0.0582 -2.1056 4.4908 0.6677 -4.8942 0.4533 4.1993 -1.7583 1.9694" Properties=species:S:1:pos:R:3 pbc="T T T"
Zr 3.6066 -6.5686 5.1852
Ca 1.2022 -2.1895 1.7284
Rh 2.4044 -4.3790 3.4568
Ca 0.0000 0.0000 0.0000
```

=====

(4)
Density functional theory data (SCAN) for a crystal of BeGaAg3 relaxed with PBEsol.

Properties
The value obtained for the formation energy is 0.96 eV/atom. The value obtained for the density of states at the Fermi level is 2.18 states/eV/f.u. The raw total energy comes out at -109.98 eV per cell.

extended XYZ file:
```
5
Lattice="-0.9533 -4.4447 -1.2346 3.3880 0.1810 -3.2676 3.1307 -1.5493 3.1602" Properties=species:S:1:pos:R:3 pbc="T T T"
Be 2.7827 -2.9065 -0.6710
Ga 0.0000 0.0000 0.0000
Ag -0.4767 -2.2223 -0.6173
Ag 1.6940 0.0905 -1.6338
Ag 1.5654 -0.7747 1.5801
```

=====

no.,calculated volume (Å³/cell)
1,121.11
2,72.27
3,86.30
4,104.52